# BaVO2

A relaxed structure of BaVO2 (GGA+U, Alexandria).

The structure in CIF format:
```
data_BaVO2
_chemical_formula_sum 'Ba4 V4 O8'
_cell_length_a 5.087
_cell_length_b 5.087
_cell_length_c 11.565
_cell_angle_alpha 90.00
_cell_angle_beta 90.00
_cell_angle_gamma 90.00
_symmetry_space_group_name_H-M 'I -4 2 d'
_symmetry_Int_Tables_number 122
_symmetry_space_group_name_Hall 'I -4 2bw'
loop_
_atom_site_label
_atom_site_type_symbol
_atom_site_fract_x
_atom_site_fract_y
_atom_site_fract_z
_atom_site_occupancy
Ba1 Ba 0.000 0.000 0.000 1
V1 V 0.000 0.000 0.500 1
O1 O 0.151 0.250 0.625 1
```

Computed properties:
Density of states at the Fermi level (states/eV/cell): 0.94
Energy relative to the lowest polymorph listed for this composition (eV/f.u.): 0.27